DFT (PBE) results for Co2PI after structural relaxation.

Computed properties:
Space-group type: I-42d (122)
Uncorrected energy: -0.378 Ry per atom
Energy above the most stable polymorph in this dataset: 0.000 eV/f.u.
Energy relative to the elements, uncorrected: 144 meV per atom

Cell lengths 4.964, 4.964, 6.946 Å; angles 69.06, 69.06, 90.00 degrees
Atoms (fractional coordinates):
I 0.000 0.000 0.000
I 0.750 0.250 0.500
P 0.500 0.500 0.000
P 0.250 0.750 0.500
Co 0.551 0.125 0.250
Co 0.199 0.625 0.250
Co 0.375 0.449 0.750
Co 0.875 0.801 0.750



DFT (PBE) results for RbIn2Ge2 after structural relaxation.

Computed properties:
Space-group type: I4/mmm (139)
Uncorrected energy: -0.235 Ry per atom
Energy above the most stable polymorph in this dataset: 0.072 eV/f.u.
Energy of formation from the pure elements: -5.8 kJ/mol of atoms

Cell lengths 5.062, 5.062, 6.572 Å; angles 67.35, 67.35, 90.00 degrees
Atoms (fractional coordinates):
Ge 0.380 0.380 0.239
Ge 0.620 0.620 0.761
Rb 0.000 0.000 0.000
In 0.750 0.250 0.500
In 0.250 0.750 0.500